Entry 1:
{
  "formula": "CeSmGePb",
  "functional": "PBE-GGA",
  "state": "optimized geometry",
  "cell": [[-0.1040, -1.4211, 5.1697], [-3.1029, -4.0705, 1.5998], [2.2311, -4.6215, 1.5556]],
  "species": ["Sm", "Ce", "Ge", "Pb"],
  "fractional_positions": [[0.2500, 0.2500, 0.2500], [0.7500, 0.7500, 0.7500], [0.5000, 0.5000, 0.5000], [0.0000, 0.0000, 0.0000]],
  "sg": "No. 216"
}

Entry 2:
{
  "formula": "Ce5TlGe2Pb",
  "functional": "PBE-GGA",
  "state": "optimized geometry",
  "cell": [[-3.5527, -1.3932, -6.8372], [5.0003, -5.8596, -1.4043], [-5.8313, -1.6245, 7.8447]],
  "species": ["Ce", "Ce", "Ce", "Ce", "Ce", "Ce", "Ce", "Ce", "Ce", "Ce", "Tl", "Tl", "Ge", "Ge", "Ge", "Ge", "Pb", "Pb"],
  "fractional_positions": [[0.5000, 0.5000, 0.0000], [0.4256, 0.3229, 0.2485], [0.9256, 0.4256, 0.2485], [0.6771, 0.1771, 0.7515], [0.8229, 0.9256, 0.2485], [0.3229, 0.8229, 0.2485], [0.5744, 0.6771, 0.7515], [0.0000, 0.0000, 0.0000], [0.1771, 0.0744, 0.7515], [0.0744, 0.5744, 0.7515], [0.7500, 0.2500, 0.5000], [0.2500, 0.7500, 0.5000], [0.8869, 0.6131, 0.0000], [0.6131, 0.1131, 0.0000], [0.3869, 0.8869, 0.0000], [0.1131, 0.3869, 0.0000], [0.7500, 0.7500, 0.5000], [0.2500, 0.2500, 0.5000]],
  "sg": "No. 140"
}

Entry 3:
{
  "formula": "Ce5Ge2Pd",
  "functional": "PBE-GGA",
  "state": "optimized geometry",
  "cell": [[-6.5496, 1.2494, -5.6904], [-0.3513, -6.6778, 5.6676], [-2.8852, 3.6507, 4.1225]],
  "species": ["Ce", "Ce", "Ce", "Ce", "Ce", "Ce", "Ce", "Ce", "Ce", "Ce", "Ge", "Ge", "Ge", "Ge", "Pd", "Pd"],
  "fractional_positions": [[0.3385, 0.6658, 0.7811], [0.9918, 0.2597, 0.5000], [0.3385, 0.6658, 0.2189], [0.2597, 0.9918, 0.5000], [0.6658, 0.3385, 0.2189], [0.2532, 0.2532, 0.0000], [0.7375, 0.7375, 0.5000], [0.0046, 0.7468, 0.0000], [0.7468, 0.0046, 0.0000], [0.6658, 0.3385, 0.7811], [0.0013, 0.3887, 0.0000], [0.3800, 0.3800, 0.5000], [0.6219, 0.6219, 0.0000], [0.3887, 0.0013, 0.0000], [0.6097, 0.9974, 0.5000], [0.9974, 0.6097, 0.5000]],
  "relative_energy_mev_per_atom": 0.0,
  "sg": "No. 38"
}

Entry 4:
{
  "formula": "Ce5Ge2Pd",
  "functional": "PBE-GGA",
  "state": "optimized geometry",
  "cell": [[2.0004, -7.6322, -3.1590], [5.7044, -2.3318, 5.8527], [-7.8923, 2.6739, 1.6712]],
  "species": ["Pd", "Pd", "Ce", "Ce", "Ce", "Ce", "Ce", "Ce", "Ce", "Ce", "Ce", "Ce", "Ge", "Ge", "Ge", "Ge"],
  "fractional_positions": [[0.2500, 0.2500, 0.0000], [0.7500, 0.7500, 0.0000], [0.3325, 0.4785, 0.5000], [0.4785, 0.9785, 0.1460], [0.1675, 0.6675, 0.1460], [0.0215, 0.1675, 0.5000], [0.5215, 0.0215, 0.8540], [0.0000, 0.0000, 0.0000], [0.5000, 0.5000, 0.0000], [0.9785, 0.8325, 0.5000], [0.6675, 0.5215, 0.5000], [0.8325, 0.3325, 0.8540], [0.1219, 0.6219, 0.7439], [0.3781, 0.1219, 0.5000], [0.6219, 0.8781, 0.5000], [0.8781, 0.3781, 0.2561]],
  "relative_energy_mev_per_atom": 14.0,
  "sg": "No. 140"
}

Entry 5:
{
  "formula": "Ce3Ge2Pd",
  "functional": "PBE-GGA",
  "state": "optimized geometry",
  "cell": [[4.3497, 0.0000, 0.0000], [0.0000, 11.3297, 0.0000], [0.0000, 0.0000, 11.9950]],
  "species": ["Ce", "Ce", "Ce", "Ce", "Ce", "Ce", "Ce", "Ce", "Ce", "Ce", "Ce", "Ce", "Ge", "Ge", "Ge", "Ge", "Ge", "Ge", "Ge", "Ge", "Pd", "Pd", "Pd", "Pd"],
  "fractional_positions": [[0.2500, 0.1220, 0.5476], [0.7500, 0.5631, 0.6256], [0.2500, 0.4369, 0.3744], [0.7500, 0.3029, 0.7815], [0.2500, 0.3780, 0.0476], [0.7500, 0.9369, 0.1256], [0.7500, 0.6220, 0.9524], [0.2500, 0.6971, 0.2185], [0.2500, 0.8029, 0.7185], [0.7500, 0.8780, 0.4524], [0.7500, 0.1971, 0.2815], [0.2500, 0.0631, 0.8744], [0.7500, 0.4920, 0.1919], [0.7500, 0.1897, 0.0135], [0.2500, 0.8103, 0.9865], [0.7500, 0.3103, 0.5135], [0.2500, 0.6897, 0.4865], [0.2500, 0.5080, 0.8081], [0.2500, 0.9920, 0.3081], [0.7500, 0.0080, 0.6919], [0.2500, 0.1256, 0.1257], [0.2500, 0.3744, 0.6257], [0.7500, 0.6256, 0.3743], [0.7500, 0.8744, 0.8743]],
  "relative_energy_mev_per_atom": 0.0,
  "sg": "No. 62"
}

Entry 6:
{
  "formula": "Ce3Ge8Pd3",
  "functional": "PBE-GGA",
  "state": "optimized geometry",
  "cell": [[-4.0675, -0.1006, 1.7668], [0.8290, -4.3825, 7.2272], [1.0480, 4.1160, 8.2154]],
  "species": ["Ge", "Ge", "Ge", "Ge", "Ge", "Ge", "Ge", "Ge", "Pd", "Pd", "Pd", "Ce", "Ce", "Ce"],
  "fractional_positions": [[0.1273, 0.1606, 0.5849], [0.5163, 0.6556, 0.3117], [0.4837, 0.3444, 0.6883], [0.1777, 0.5346, 0.1099], [0.3648, 0.9989, 0.2715], [0.8223, 0.4654, 0.8901], [0.8727, 0.8394, 0.4151], [0.6352, 0.0011, 0.7285], [0.3558, 0.2964, 0.9921], [0.6442, 0.7036, 0.0079], [0.0000, 0.5000, 0.5000], [0.2825, 0.7461, 0.6890], [0.0000, 0.0000, 0.0000], [0.7175, 0.2539, 0.3110]],
  "sg": "No. 12"
}

Entry 7:
{
  "formula": "CeGePd6",
  "functional": "PBE-GGA",
  "state": "optimized geometry",
  "cell": [[5.3160, -0.2733, -0.6338], [0.1269, 5.3215, -0.6338], [0.7359, 0.6825, 5.2659]],
  "species": ["Ce", "Pd", "Pd", "Pd", "Pd", "Pd", "Pd", "Ge"],
  "fractional_positions": [[0.5000, 0.5000, 0.5000], [0.9463, 0.3210, 0.6790], [0.6790, 0.6790, 0.9467], [0.0537, 0.6790, 0.3210], [0.3210, 0.9463, 0.6790], [0.6790, 0.0537, 0.3210], [0.3210, 0.3210, 0.0533], [0.0000, 0.0000, 0.0000]],
  "sg": "No. 166"
}

Entry 8:
{
  "formula": "Ce3Ge5Pd6",
  "functional": "PBE-GGA",
  "state": "optimized geometry",
  "cell": [[4.2228, 0.0000, 0.0000], [0.0000, 9.5890, 0.0000], [0.0000, 0.0000, 13.0768]],
  "species": ["Pd", "Pd", "Pd", "Pd", "Pd", "Pd", "Pd", "Pd", "Pd", "Pd", "Pd", "Pd", "Ge", "Ge", "Ge", "Ge", "Ge", "Ge", "Ge", "Ge", "Ge", "Ge", "Ce", "Ce", "Ce", "Ce", "Ce", "Ce"],
  "fractional_positions": [[0.0000, 0.4813, 0.5000], [0.5000, 0.0012, 0.6639], [0.5000, 0.9914, 0.0000], [0.0000, 0.5912, 0.3072], [0.5000, 0.5187, 0.0000], [0.5000, 0.0012, 0.3361], [0.0000, 0.0086, 0.5000], [0.0000, 0.5912, 0.6928], [0.0000, 0.9988, 0.1639], [0.5000, 0.4088, 0.8072], [0.5000, 0.4088, 0.1928], [0.0000, 0.9988, 0.8361], [0.5000, 0.4568, 0.3861], [0.0000, 0.5432, 0.1139], [0.0000, 0.8543, 0.6630], [0.0000, 0.5432, 0.8861], [0.0000, 0.8543, 0.3370], [0.5000, 0.1457, 0.8370], [0.5000, 0.1457, 0.1630], [0.0000, 0.8280, 0.0000], [0.5000, 0.4568, 0.6139], [0.5000, 0.1720, 0.5000], [0.0000, 0.2435, 0.6746], [0.5000, 0.7565, 0.1746], [0.0000, 0.2563, 0.0000], [0.5000, 0.7437, 0.5000], [0.0000, 0.2435, 0.3254], [0.5000, 0.7565, 0.8254]],
  "sg": "No. 59"
}

| no. | energy (eV/atom) | ΔE_f (meV per atom) |
| --- | --- | --- |
| 1 | -5.171 | -427 |
| 2 | -5.417 | -420 |
| 3 | -6.040 | -528 |
| 4 | -6.026 | -514 |
| 5 | -6.114 | -743 |
| 6 | -5.607 | -584 |
| 7 | -5.455 | -241 |
| 8 | -5.936 | -789 |